1.
Density functional theory data (GGA-PBE) for a relaxed La9NdIn2 crystal.

Unit cell a=5.1102 b=5.1102 c=15.5139 alpha=90.00 beta=90.00 gamma=90.00
With the nearest neighbours (Å) after each atom.
Space group P4/mmm (No. 123)
One atom of each set of equivalent atoms:
La: 0.0000 0.0000 0.0000 [1 per cell]  4 Nd 3.61, 8 La 3.71
La: 0.0000 0.0000 0.3394 [2 per cell]  8 La 3.57-3.63, 4 In 3.61
La: 0.0000 0.5000 0.1734 [4 per cell]  2 In 3.60, 8 La 3.61-3.71, 2 Nd 3.71
La: 0.0000 0.5000 0.5000 [2 per cell]  8 La 3.57-3.61, 4 In 3.59
Nd: 0.5000 0.5000 0.0000 [1 per cell]  12 La 3.61-3.71
In: 0.5000 0.5000 0.3371 [2 per cell]  12 La 3.59-3.61

Calculated values
energy relative to the elements: -2.25 eV/f.u.
crystal system: tetragonal
electronic total energy: -4.737 eV per atom
theoretical density: 6.66 g/cm³
total moment: 0.00 μB per cell

2.
Density functional theory data (GGA-PBE) for a relaxed LaNd6In crystal.

Unit cell a=5.0497 b=5.0497 c=10.4723 alpha=90.00 beta=90.00 gamma=90.00
With the nearest neighbours (Å) after each atom.
Space group P4/mmm (No. 123)
One atom of each set of equivalent atoms:
La: 0.0000 0.0000 0.0000 [1 per cell]  12 Nd 3.57-3.72
Nd: 0.0000 0.5000 0.2603 [4 per cell]  2 In 3.56, 8 Nd 3.56-3.72, 2 La 3.72
Nd: 0.5000 0.5000 0.0000 [1 per cell]  4 La 3.57, 8 Nd 3.72
Nd: 0.5000 0.5000 0.5000 [1 per cell]  8 Nd 3.56, 4 In 3.57
In: 0.0000 0.0000 0.5000 [1 per cell]  12 Nd 3.56-3.57

Calculated values
energy relative to the elements: -0.89 eV/f.u.
crystal system: tetragonal
electronic total energy: -4.645 eV per atom
theoretical density: 6.96 g/cm³
total moment: 0.00 μB per cell

3.
Density functional theory data (GGA-PBE) for a relaxed La3Nd3In2 crystal.

Unit cell a=5.4134 b=12.3577 c=16.2192 alpha=90.00 beta=90.00 gamma=90.00
With the nearest neighbours (Å) after each atom.
Space group Cmcm (No. 63)
One atom of each set of equivalent atoms:
La: 0.0000 0.0414 0.1086 [8 per cell]  1 In 3.35, 6 Nd 3.55-3.74, 2 La 3.67-3.72
La: 0.0000 0.2786 0.2500 [4 per cell]  4 In 3.28, 1 Nd 3.39
Nd: 0.0000 0.3621 0.0324 [8 per cell]  3 In 3.20-3.37, 1 Nd 3.57
Nd: 0.0000 0.4472 0.7500 [4 per cell]  2 In 3.28, 5 La 3.39-3.55
In: 0.0000 0.2276 0.6362 [8 per cell]  4 Nd 3.20-3.37, 3 La 3.28-3.35

Calculated values
energy relative to the elements: -1.33 eV/f.u.
crystal system: orthorhombic
electronic total energy: -4.486 eV per atom
theoretical density: 6.61 g/cm³
total moment: 0.00 μB per cell

4.
Density functional theory data (GGA-PBE) for a relaxed LaNdInNi crystal.

Unit cell a=7.5286 b=7.5286 c=7.5286 alpha=90.00 beta=90.00 gamma=90.00
With the nearest neighbours (Å) after each atom.
Space group F-43m (No. 216)
One atom of each set of equivalent atoms:
La: 0.0000 0.0000 0.0000 [4 per cell]  4 In 3.26, 4 Ni 3.26
Nd: 0.0000 0.0000 0.5000 [4 per cell]  4 In 3.26, 4 Ni 3.26
In: 0.2500 0.2500 0.2500 [4 per cell]  4 La 3.26, 4 Nd 3.26
Ni: 0.2500 0.2500 0.7500 [4 per cell]  4 La 3.26, 4 Nd 3.26

Calculated values
energy relative to the elements: -0.90 eV/f.u.
crystal system: cubic
electronic total energy: -4.779 eV per atom
theoretical density: 7.11 g/cm³
total moment: 0.01 μB per cell

5.
Density functional theory data (GGA-PBE) for a relaxed La2NdInO crystal.

Unit cell a=5.0653 b=5.0653 c=5.0389 alpha=90.00 beta=90.00 gamma=90.00
With the nearest neighbours (Å) after each atom.
Space group P4/mmm (No. 123)
One atom of each set of equivalent atoms:
La: 0.0000 0.5000 0.0000 [2 per cell]  2 O 2.53
Nd: 0.0000 0.0000 0.5000 [1 per cell]  2 O 2.52
In: 0.5000 0.5000 0.5000 [1 per cell]  8 La 3.57, 4 Nd 3.58
O: 0.0000 0.0000 0.0000 [1 per cell]  2 Nd 2.52, 4 La 2.53

Calculated values
crystal system: tetragonal
electronic total energy: -5.889 eV per atom
theoretical density: 7.10 g/cm³
total moment: 0.00 μB per cell

6.
Density functional theory data (GGA-PBE) for a relaxed La3NdInOs crystal.

Unit cell a=16.5795 b=7.7568 c=6.2015 alpha=90.00 beta=111.86 gamma=90.00
With the nearest neighbours (Å) after each atom.
Space group C2/m (No. 12)
One atom of each set of equivalent atoms:
La: 0.1187 0.2452 0.1178 [8 per cell]  2 Os 3.03
La: 0.1747 0.0000 0.6733 [4 per cell]  2 Os 3.13
Nd: 0.0000 0.3048 0.5000 [4 per cell]  2 Os 2.86, 1 Nd 3.03
In: 0.1955 0.5000 0.6959 [4 per cell]  2 Nd 3.37, 4 La 3.43-3.70
Os: 0.0000 0.0000 0.2412 [4 per cell]  2 Nd 2.86, 1 Os 2.99, 6 La 3.03-3.13

Calculated values
energy relative to the elements: -1.67 eV/f.u.
crystal system: monoclinic
electronic total energy: -5.864 eV per atom
theoretical density: 7.77 g/cm³
total moment: 0.00 μB per cell

7.
Density functional theory data (GGA-PBE) for a relaxed LaNdInPb crystal.

Unit cell a=7.9001 b=7.9001 c=7.9001 alpha=90.00 beta=90.00 gamma=90.00
With the nearest neighbours (Å) after each atom.
Space group F-43m (No. 216)
One atom of each set of equivalent atoms:
La: 0.0000 0.0000 0.0000 [4 per cell]  4 In 3.42, 4 Pb 3.42
Nd: 0.0000 0.0000 0.5000 [4 per cell]  4 Pb 3.42, 4 In 3.42
In: 0.2500 0.2500 0.2500 [4 per cell]  4 Nd 3.42, 4 La 3.42
Pb: 0.2500 0.2500 0.7500 [4 per cell]  4 La 3.42, 4 Nd 3.42

Calculated values
energy relative to the elements: -1.97 eV/f.u.
crystal system: cubic
electronic total energy: -4.527 eV per atom
theoretical density: 8.15 g/cm³
total moment: 0.00 μB per cell

8.
Density functional theory data (GGA-PBE) for a relaxed LaNdInPb crystal.

Unit cell a=4.3867 b=5.0024 c=11.2060 alpha=90.00 beta=90.00 gamma=90.00
With the nearest neighbours (Å) after each atom.
Space group Imm2 (No. 44)
One atom of each set of equivalent atoms:
La: 0.0000 0.0000 0.0000 [2 per cell]  4 In 3.35, 4 Pb 3.65-3.67, 4 Nd 3.66
Nd: 0.0000 0.5000 0.7614 [2 per cell]  4 Pb 3.34, 2 In 3.58, 4 La 3.66
In: 0.0000 0.0000 0.5326 [2 per cell]  2 Pb 3.19, 4 La 3.35
Pb: 0.0000 0.5000 0.2392 [2 per cell]  2 In 3.19, 4 Nd 3.34

Calculated values
energy relative to the elements: -1.99 eV/f.u.
crystal system: orthorhombic
electronic total energy: -4.533 eV per atom
theoretical density: 8.17 g/cm³
total moment: 0.00 μB per cell

9.
Density functional theory data (GGA-PBE) for a relaxed LaNdInPd crystal.

Unit cell a=7.6101 b=7.6101 c=7.6101 alpha=90.00 beta=90.00 gamma=90.00
With the nearest neighbours (Å) after each atom.
Space group F-43m (No. 216)
One atom of each set of equivalent atoms:
La: 0.0000 0.0000 0.0000 [4 per cell]  4 In 3.30, 4 Pd 3.30
Nd: 0.0000 0.0000 0.5000 [4 per cell]  4 In 3.30, 4 Pd 3.30
In: 0.2500 0.2500 0.7500 [4 per cell]  4 La 3.30, 4 Nd 3.30
Pd: 0.2500 0.2500 0.2500 [4 per cell]  4 La 3.30, 4 Nd 3.30

Calculated values
energy relative to the elements: -2.09 eV/f.u.
crystal system: cubic
electronic total energy: -4.930 eV per atom
theoretical density: 7.60 g/cm³
total moment: 0.00 μB per cell

10.
Density functional theory data (GGA-PBE) for a relaxed La2Pm3Nd6In crystal.

Unit cell a=6.2784 b=10.8912 c=12.0835 alpha=90.00 beta=100.11 gamma=90.00
With the nearest neighbours (Å) after each atom.
Space group C2/m (No. 12)
One atom of each set of equivalent atoms:
La: 0.0000 0.1663 0.0000 [4 per cell]  3 La 3.62-3.63, 3 In 3.62-3.63, 6 Nd 3.64-3.65
Pm: 0.0000 0.0000 0.5000 [2 per cell]  6 Pm 3.61-3.64, 6 Nd 3.64-3.68
Pm: 0.0000 0.3314 0.5000 [4 per cell]  6 Pm 3.61-3.67, 6 Nd 3.63-3.68
Nd: 0.2411 0.5000 0.7503 [4 per cell]  6 Nd 3.52-3.68, 1 In 3.61, 3 Pm 3.63-3.68, 2 La 3.65
Nd: 0.2443 0.3380 0.2483 [8 per cell]  6 Nd 3.52-3.68, 1 In 3.59, 3 Pm 3.64-3.68, 2 La 3.64
In: 0.0000 0.5000 0.0000 [2 per cell]  6 Nd 3.59-3.61, 6 La 3.62-3.63

Calculated values
energy relative to the elements: -0.75 eV/f.u.
crystal system: monoclinic
electronic total energy: -4.683 eV per atom
theoretical density: 6.91 g/cm³
total moment: 0.00 μB per cell

11.
Density functional theory data (GGA-PBE) for a relaxed La2Pm5NdIn crystal.

Unit cell a=5.6139 b=20.2409 c=10.8980 alpha=90.00 beta=90.00 gamma=90.00
With the nearest neighbours (Å) after each atom.
Space group Cmcm (No. 63)
One atom of each set of equivalent atoms:
La: 0.0000 0.1177 0.0465 [8 per cell]  8 Pm 3.45-3.72, 1 Nd 3.65
Pm: 0.0000 0.0128 0.7500 [4 per cell]  2 In 3.24, 2 La 3.45
Pm: 0.0000 0.2896 0.0535 [8 per cell]  1 In 3.20, 2 Pm 3.44, 3 La 3.48-3.55, 2 Nd 3.54
Pm: 0.0000 0.3851 0.7500 [4 per cell]  4 La 3.58, 6 Pm 3.58-3.83, 1 Nd 3.71
Pm: 0.0000 0.5000 0.0000 [4 per cell]  2 In 3.31, 2 Pm 3.58
Nd: 0.0000 0.2018 0.7500 [4 per cell]  8 Pm 3.54-3.83, 2 In 3.57, 2 La 3.65
In: 0.0000 0.4070 0.2500 [4 per cell]  6 Pm 3.20-3.31, 2 Nd 3.57

Calculated values
energy relative to the elements: -0.23 eV/f.u.
crystal system: orthorhombic
electronic total energy: -4.594 eV per atom
theoretical density: 6.77 g/cm³
total moment: 0.00 μB per cell

12.
Density functional theory data (GGA-PBE) for a relaxed La3Pm6Nd2In crystal.

Unit cell a=6.2687 b=10.8802 c=12.0542 alpha=90.00 beta=100.15 gamma=90.00
With the nearest neighbours (Å) after each atom.
Space group C2/m (No. 12)
One atom of each set of equivalent atoms:
La: 0.0000 0.0000 0.0000 [2 per cell]  6 La 3.58-3.64, 6 Pm 3.67-3.70
La: 0.0000 0.3292 0.0000 [4 per cell]  6 La 3.58-3.72, 6 Pm 3.67-3.69
Pm: 0.2431 0.3378 0.7442 [8 per cell]  6 Pm 3.53-3.68, 1 In 3.54, 2 Nd 3.59-3.60, 3 La 3.67-3.69
Pm: 0.2430 0.5000 0.2538 [4 per cell]  6 Pm 3.53-3.68, 1 In 3.57, 2 Nd 3.60, 3 La 3.67-3.70
Nd: 0.0000 0.1662 0.5000 [4 per cell]  6 Pm 3.59-3.60, 3 Nd 3.62-3.63, 3 In 3.62-3.63
In: 0.0000 0.5000 0.5000 [2 per cell]  6 Pm 3.54-3.57, 6 Nd 3.62-3.63

Calculated values
energy relative to the elements: -0.62 eV/f.u.
crystal system: monoclinic
electronic total energy: -4.682 eV per atom
theoretical density: 6.94 g/cm³
total moment: 0.00 μB per cell

> What is the theoretical density in the fifth record?

7.10 g/cm³